Entry 1:
Entry from Alexandria: a relaxed Er6SnRh2 crystal (PBE-GGA).

Cell: 8.427 8.427 8.427 Å, 104.71 110.94 112.88°
Element x y z (fractional)
1 Er 0.530 0.711 0.819
2 Er 0.470 0.289 0.181
3 Er 0.108 0.289 0.819
4 Er 0.892 0.711 0.181
5 Er 0.796 0.763 0.558
6 Er 0.204 0.237 0.442
7 Er 0.204 0.763 0.967
8 Er 0.796 0.237 0.033
9 Er 0.693 0.363 0.670
10 Er 0.307 0.637 0.330
11 Er 0.307 0.977 0.670
12 Er 0.693 0.023 0.330
13 Sn 0.000 0.500 0.500
14 Sn 0.000 0.000 0.000
15 Rh 0.500 0.366 0.866
16 Rh 0.500 0.634 0.134
17 Rh 0.665 0.000 0.665
18 Rh 0.335 0.000 0.335

Values from the calculation:
As for the calculated total energy: -104.12 eV/cell. The calculation puts the energy relative to the elements at -0.66 eV per atom. The space group is Immm (71).

=====

Entry 2:
Entry from Alexandria: a relaxed BiPN2 crystal (PBE-GGA).

Cell: 7.151 7.151 7.151 Å, 24.06 24.06 24.06°
Element x y z (fractional)
1 P 0.500 0.500 0.500
2 Bi 0.000 0.000 0.000
3 N 0.877 0.877 0.877
4 N 0.123 0.123 0.123

Values from the calculation:
As for the calculated total energy: -23.88 eV/cell. The space group is R-3m (166). The energy relative to the elements, uncorrected is 0.515 eV/atom. Its excess energy over the best structure of this formula in the dataset is 102 kJ/mol of formula units.

=====

Entry 3:
Entry from Alexandria: a relaxed CePrNd2Se4 crystal (PBE-GGA).

Cell: 4.209 7.347 7.344 Å, 70.84 90.00 90.00°
Each line ends with the local moment (μB).
Element x y z (fractional)
1 Ce 0.500 0.500 0.000  0.79
2 Pr 0.000 0.500 0.500  0.02
3 Nd 0.000 0.000 0.000  0.02
4 Nd 0.500 0.000 0.500  0.00
5 Se 0.000 0.749 0.753  -0.01
6 Se 0.000 0.251 0.247  -0.01
7 Se 0.500 0.751 0.247  0.00
8 Se 0.500 0.249 0.753  0.00

Values from the calculation:
As for the calculated total energy: -48.90 eV/cell. The space group is P2/m (10). The energy relative to the elements, uncorrected is -1.840 eV/atom.

=====

Entry 4:
Entry from Alexandria: a relaxed DySc6Tl crystal (PBE-GGA).

Cell: 6.193 6.193 8.614 Å, 109.92 109.92 121.29°
Element x y z (fractional)
1 Dy 0.500 0.500 0.500
2 Sc 0.212 0.212 0.751
3 Sc 0.680 0.224 0.252
4 Sc 0.788 0.788 0.249
5 Sc 0.776 0.320 0.748
6 Sc 0.320 0.776 0.748
7 Sc 0.224 0.680 0.252
8 Tl 0.000 0.000 0.000

Values from the calculation:
As for the calculated total energy: -44.02 eV/cell. The calculation puts the energy relative to the elements at 0.12 eV per atom. The space group is C2/m (12). Its excess energy over the best structure of this formula in the dataset is 131 kJ/mol of formula units.

=====

Entry 5:
Entry from Alexandria: a relaxed VSb2OsI crystal (PBE-GGA).

Cell: 5.035 5.035 5.811 Å, 90.00 90.00 90.00°
Each line ends with the local moment (μB).
Element x y z (fractional)
1 I 0.000 0.000 0.500  -0.04
2 Sb 0.000 0.500 0.000  -0.05
3 Sb 0.500 0.000 0.000  -0.05
4 Os 0.000 0.000 0.000  0.13
5 V 0.500 0.500 0.500  3.10

Values from the calculation:
As for the calculated total energy: -24.93 eV/cell. The space group is P4/mmm (123). The energy relative to the elements, uncorrected is 1.043 eV/atom. Its excess energy over the best structure of this formula in the dataset is 0 kJ/mol of formula units.

=====

Entry 6:
Entry from Alexandria: a relaxed HfTiCoRh crystal (PBE-GGA).

Cell: 4.441 4.441 4.441 Å, 60.00 60.00 60.00°
Each line ends with the local moment (μB).
Element x y z (fractional)
1 Rh 0.500 0.500 0.500  0.11
2 Ti 0.250 0.250 0.250  0.04
3 Hf 0.750 0.750 0.750  -0.04
4 Co 0.000 0.000 0.000  0.89

Values from the calculation:
As for the calculated total energy: -34.55 eV/cell. The calculation puts the energy relative to the elements at -0.56 eV per atom. The space group is F-43m (216).